# 1
# YAl2GaFe2

A geometry-optimized YAl2GaFe2 structure (PBE-GGA, Alexandria).

Symmetry: No. 123
ρ in g/cm³: 4.971
V in Å³/cell: 108
N(E_F) in states/eV/f.u.: 5.85
Energy of formation in eV/f.u.: -0.4

Cell: 4.4122 4.4122 5.5646 Å, 90.00 90.00 90.00°
With the nearest neighbours (Å) after each atom.
Element x y z (fractional)
Fe  0.5000  0.0000  0.0000  2 Ga 2.21
Ga  0.0000  0.0000  0.0000  4 Fe 2.21
Al  0.5000  0.5000  0.2484  4 Fe 2.60, 2 Al 2.76-2.80
Fe  0.0000  0.5000  0.0000  2 Ga 2.21
Y  0.0000  0.0000  0.5000  2 Ga 2.78
Al  0.5000  0.5000  0.7516  4 Fe 2.60, 2 Al 2.76-2.80


# 2
# SrCr3Cd

A geometry-optimized SrCr3Cd structure (PBE-GGA, Alexandria).

Symmetry: No. 221
ρ in g/cm³: 2.791
V in Å³/cell: 212
Distance to the lowest polymorph of the same formula in kJ/mol of atoms: 95.04
N(E_F) in states/eV/f.u.: 3.20
Energy of formation in eV/f.u.: 10.7

Cell: 5.9608 5.9608 5.9608 Å, 90.00 90.00 90.00°
With the nearest neighbours (Å) after each atom.
Element x y z (fractional)
Cr  0.0000  0.5000  0.0000  2 Sr 2.98
Sr  0.0000  0.0000  0.0000  6 Cr 2.98
Cd  0.5000  0.5000  0.5000  12 Cr 4.21
Cr  0.5000  0.0000  0.0000  2 Sr 2.98
Cr  0.0000  0.0000  0.5000  2 Sr 2.98


# 3
# Ac12Co3N5

A geometry-optimized Ac12Co3N5 structure (PBE-GGA, Alexandria).

Symmetry: No. 230
ρ in g/cm³: 8.621
E_form (uncorrected) in meV/atom: -418
V in Å³/cell: 2289
N(E_F) in states/eV/f.u.: 16.70

Cell: 14.3799 14.3799 14.3799 Å, 109.47 109.47 109.47°
With the nearest neighbours (Å) after each atom.
Element x y z (fractional)
Co  0.8750  0.7500  0.1250  8 Ac 3.19-3.30
Co  0.2500  0.1250  0.3750  8 Ac 3.19-3.30
N  0.3750  0.1250  0.7500  4 Ac 2.45
Co  0.1250  0.8750  0.7500  8 Ac 3.19-3.30
Co  0.1250  0.2500  0.8750  8 Ac 3.19-3.30
Co  0.7500  0.3750  0.1250  8 Ac 3.19-3.30
Ac  0.9746  0.5957  0.1814  2 N 2.45-2.72
Co  0.6250  0.2500  0.3750  8 Ac 3.19-3.30
Ac  0.7932  0.4746  0.3789  2 N 2.45-2.72
N  0.8750  0.6250  0.7500  4 Ac 2.45
Ac  0.9043  0.8186  0.5254  2 N 2.45-2.72
N  0.5000  0.5000  0.0000  6 Ac 2.72
Ac  0.3186  0.7932  0.4143  2 N 2.45-2.72
Ac  0.9143  0.0957  0.6211  2 N 2.45-2.72
Ac  0.2932  0.8789  0.9746  2 N 2.45-2.72
N  0.1250  0.3750  0.2500  4 Ac 2.45
Ac  0.4043  0.0254  0.3186  2 N 2.45-2.72
Ac  0.1211  0.4143  0.0957  2 N 2.45-2.72
N  0.5000  0.0000  0.5000  6 Ac 2.72
Ac  0.5957  0.9746  0.6814  2 N 2.45-2.72
Ac  0.2068  0.5254  0.6211  2 N 2.45-2.72
Ac  0.6211  0.0254  0.2068  2 N 2.45-2.72
N  0.0000  0.5000  0.5000  6 Ac 2.72
Ac  0.5254  0.3186  0.9043  2 N 2.45-2.72
Ac  0.8186  0.9143  0.2932  2 N 2.45-2.72
N  0.2500  0.3750  0.6250  4 Ac 2.45
N  0.7500  0.1250  0.8750  4 Ac 2.45
N  0.0000  0.0000  0.0000  6 Ac 2.72
Co  0.6250  0.3750  0.7500  8 Ac 3.19-3.30
Ac  0.1814  0.0957  0.9746  2 N 2.45-2.72
Ac  0.7932  0.3186  0.9143  2 N 2.45-2.72
N  0.6250  0.7500  0.8750  4 Ac 2.45
Ac  0.7068  0.1211  0.0254  2 N 2.45-2.72
Ac  0.7068  0.5857  0.1814  2 N 2.45-2.72
Ac  0.9043  0.0857  0.8789  2 N 2.45-2.72
Ac  0.4143  0.2932  0.3186  2 N 2.45-2.72
N  0.5000  0.0000  0.0000  6 Ac 2.72
Co  0.3750  0.6250  0.2500  8 Ac 3.19-3.30
Ac  0.1211  0.7068  0.5254  2 N 2.45-2.72
Ac  0.9746  0.3789  0.2932  2 N 2.45-2.72
N  0.2500  0.8750  0.1250  4 Ac 2.45
Ac  0.0957  0.9143  0.1211  2 N 2.45-2.72
Ac  0.4043  0.3789  0.5857  2 N 2.45-2.72
Ac  0.5957  0.6211  0.4143  2 N 2.45-2.72
Ac  0.2068  0.6814  0.0857  2 N 2.45-2.72
Co  0.3750  0.7500  0.6250  8 Ac 3.19-3.30
Ac  0.4746  0.7932  0.8789  2 N 2.45-2.72
Ac  0.8186  0.9043  0.0254  2 N 2.45-2.72
Co  0.2500  0.6250  0.8750  8 Ac 3.19-3.30
Ac  0.0857  0.9043  0.3789  2 N 2.45-2.72
Ac  0.8789  0.2932  0.4746  2 N 2.45-2.72
Ac  0.0254  0.4043  0.8186  2 N 2.45-2.72
Ac  0.4143  0.1211  0.5957  2 N 2.45-2.72
N  0.1250  0.7500  0.3750  4 Ac 2.45
Ac  0.3789  0.9746  0.7932  2 N 2.45-2.72
Ac  0.8789  0.5857  0.9043  2 N 2.45-2.72
Ac  0.3186  0.5254  0.4043  2 N 2.45-2.72
N  0.7500  0.6250  0.3750  4 Ac 2.45
Ac  0.2932  0.4143  0.8186  2 N 2.45-2.72
N  0.0000  0.5000  0.0000  6 Ac 2.72
Ac  0.0857  0.1814  0.2068  2 N 2.45-2.72
N  0.3750  0.2500  0.1250  4 Ac 2.45
Ac  0.6814  0.2068  0.5857  2 N 2.45-2.72
Ac  0.6211  0.5957  0.9143  2 N 2.45-2.72
Co  0.7500  0.8750  0.6250  8 Ac 3.19-3.30
Ac  0.3789  0.4043  0.0857  2 N 2.45-2.72
Ac  0.4746  0.6814  0.0957  2 N 2.45-2.72
Co  0.8750  0.1250  0.2500  8 Ac 3.19-3.30
Ac  0.5857  0.8789  0.4043  2 N 2.45-2.72
Ac  0.0254  0.6211  0.7068  2 N 2.45-2.72
N  0.8750  0.2500  0.6250  4 Ac 2.45
Ac  0.1814  0.0857  0.7068  2 N 2.45-2.72
Ac  0.6814  0.4746  0.5957  2 N 2.45-2.72
N  0.6250  0.8750  0.2500  4 Ac 2.45
N  0.5000  0.5000  0.5000  6 Ac 2.72
Ac  0.5857  0.7068  0.6814  2 N 2.45-2.72
N  0.0000  0.0000  0.5000  6 Ac 2.72
Ac  0.5254  0.2068  0.1211  2 N 2.45-2.72
Ac  0.9143  0.8186  0.7932  2 N 2.45-2.72
Ac  0.0957  0.1814  0.4746  2 N 2.45-2.72


# 4
# LaAl2Co

A geometry-optimized LaAl2Co structure (PBE-GGA, Alexandria).

Symmetry: No. 160
ρ in g/cm³: 5.433
V in Å³/cell: 77
N(E_F) in states/eV/f.u.: 4.14
Energy of formation in eV/f.u.: 0.8

Cell: 9.2308 9.2308 9.2308 Å, 19.54 19.54 19.54°
With the nearest neighbours (Å) after each atom.
Element x y z (fractional)
Al  0.9883  0.9883  0.9883  9 Al 2.87-3.13
Co  0.5117  0.5117  0.5117  3 Al 2.46
Al  0.2396  0.2396  0.2396  3 Co 2.46
La  0.7605  0.7605  0.7605  3 Co 2.92, 6 La 3.13


# 5
# CsInFeH6

A geometry-optimized CsInFeH6 structure (PBE-GGA, Alexandria).

Symmetry: No. 149
ρ in g/cm³: 4.270
VASP energy in eV per atom: -3.6382
V in Å³/cell: 120

Cell: 4.5922 4.5922 6.5932 Å, 90.00 90.00 60.00°
With the nearest neighbours (Å) after each atom.
Element x y z (fractional)
H  0.1057  0.6160  0.6536  1 Fe 1.56
Fe  0.3333  0.3333  0.5000  6 H 1.56
H  0.6160  0.2783  0.6536  1 Fe 1.56
Cs  0.0000  0.0000  0.0000  6 H 2.78
H  0.1057  0.2783  0.3464  1 Fe 1.56
In  0.6666  0.6667  0.5000  6 H 2.16
H  0.2782  0.1057  0.6536  1 Fe 1.56
H  0.2783  0.6160  0.3464  1 Fe 1.56
H  0.6160  0.1057  0.3464  1 Fe 1.56


# 6
# Li4LaSe

A geometry-optimized Li4LaSe structure (PBE-GGA, Alexandria).

Symmetry: No. 216
ρ in g/cm³: 3.187
E_form (uncorrected) in meV/atom: -157
V in Å³/cell: 128
N(E_F) in states/eV/f.u.: 3.50

Cell: 5.6567 5.6567 5.6567 Å, 60.00 60.00 60.00°
With the nearest neighbours (Å) after each atom.
Element x y z (fractional)
Li  0.8681  0.3773  0.3773  6 Li 2.78-2.88
Li  0.3773  0.3773  0.3773  6 Li 2.78-2.88
Li  0.3773  0.3773  0.8681  6 Li 2.78-2.88
La  0.0000  0.0000  0.0000  12 Li 3.32, 4 Se 3.46
Li  0.3773  0.8681  0.3773  6 Li 2.78-2.88
Se  0.7500  0.7500  0.7500  12 Li 3.31, 4 La 3.46


# 7
# K2YBeP

A geometry-optimized K2YBeP structure (PBE-GGA, Alexandria).

Symmetry: No. 123
ρ in g/cm³: 1.504
V in Å³/cell: 229
N(E_F) in states/eV/f.u.: 5.05
Energy of formation in eV/f.u.: 7.1

Cell: 6.8563 4.8627 6.8563 Å, 90.00 90.00 90.00°
With the nearest neighbours (Å) after each atom.
Element x y z (fractional)
P  0.5000  0.5000  0.5000  8 K 4.20
K  0.5000  0.0000  0.0000  2 Y 3.43
Be  0.0000  0.5000  0.0000  2 Y 2.43
Y  0.0000  0.0000  0.0000  2 Be 2.43
K  0.0000  0.0000  0.5000  2 Y 3.43


# 8
# MgAgI2

A geometry-optimized MgAgI2 structure (PBE-GGA, Alexandria).

Symmetry: No. 166
ρ in g/cm³: 4.349
E_form (uncorrected) in meV/atom: -326
V in Å³/cell: 147
Distance to the lowest polymorph of the same formula in kJ/mol of atoms: 0.00
N(E_F) in states/eV/f.u.: 0.79

Cell: 4.0285 4.0285 10.7413 Å, 79.19 79.19 60.00°
With the nearest neighbours (Å) after each atom.
Element x y z (fractional)
Mg  0.5000  0.5000  0.5000  6 I 2.90
Ag  0.0000  0.0000  0.0000  2 I 3.50
I  0.1114  0.1114  0.6660  3 Mg 2.90
I  0.8886  0.8886  0.3340  3 Mg 2.90


# 9
# Rb2AcTbS4

A geometry-optimized Rb2AcTbS4 structure (PBE-GGA, Alexandria).

Symmetry: No. 10
ρ in g/cm³: 4.633
E_form (uncorrected) in meV/atom: -1846
V in Å³/cell: 246
N(E_F) in states/eV/f.u.: 0.00

Cell: 4.2818 7.4256 8.1059 Å, 107.68 90.00 90.00°
With the nearest neighbours (Å) after each atom.
Element x y z (fractional)
Rb  0.5000  0.0000  0.5000  6 S 3.46-3.48
Rb  0.0000  0.5000  0.5000  6 S 3.34
Ac  0.0000  0.0000  0.0000  6 S 2.98-2.99
Tb  0.5000  0.5000  0.0000  6 S 2.81-2.85
S  0.5000  0.2511  0.2003  1 Tb 2.81, 2 Ac 2.98
S  0.0000  0.7163  0.1940  2 Tb 2.85, 1 Ac 2.99
S  0.0000  0.2837  0.8060  2 Tb 2.85, 1 Ac 2.99
S  0.5000  0.7489  0.7997  1 Tb 2.81, 2 Ac 2.98


# 10
# YTlAs2

A geometry-optimized YTlAs2 structure (PBE-GGA, Alexandria).

Symmetry: No. 225
ρ in g/cm³: 7.648
V in Å³/cell: 96
Distance to the lowest polymorph of the same formula in kJ/mol of atoms: 28.68
N(E_F) in states/eV/f.u.: 2.45
Energy of formation in eV/f.u.: -1.3

Cell: 5.1435 5.1435 5.1435 Å, 60.00 60.00 60.00°
With the nearest neighbours (Å) after each atom.
Element x y z (fractional)
Tl  0.5000  0.5000  0.5000  8 As 3.15
As  0.7500  0.7500  0.7500  4 Y 3.15, 4 Tl 3.15
Y  0.0000  0.0000  0.0000  8 As 3.15
As  0.2500  0.2500  0.2500  4 Tl 3.15, 4 Y 3.15


# 11
# Si2SnRhO

A geometry-optimized Si2SnRhO structure (PBE-GGA, Alexandria).

Symmetry: No. 8
ρ in g/cm³: 6.019
E_form (uncorrected) in meV/atom: -675
V in Å³/cell: 162
Distance to the lowest polymorph of the same formula in kJ/mol of atoms: 10.82
N(E_F) in states/eV/f.u.: 2.10

Cell: 6.2217 3.0845 9.1849 Å, 90.00 113.12 90.00°
With the nearest neighbours (Å) after each atom.
Element x y z (fractional)
O  0.5562  0.0000  0.5615  3 Si 1.88-1.91
Sn  0.0125  0.0000  0.3605  3 Rh 2.55-2.62
O  0.5562  0.5000  0.0615  3 Si 1.88-1.91
Si  0.4061  0.0000  0.7078  1 O 1.91
Sn  0.0125  0.5000  0.8605  3 Rh 2.55-2.62
Si  0.6642  0.0000  0.9936  2 O 1.88
Si  0.6642  0.5000  0.4936  2 O 1.88
Si  0.4061  0.5000  0.2078  1 O 1.91
Rh  0.0888  0.5000  0.6069  3 Si 2.39-2.43, 3 Sn 2.55-2.62
Rh  0.0888  0.0000  0.1069  3 Si 2.39-2.43, 3 Sn 2.55-2.62